Record 1
CoCu2O6: relaxed, PBE with a Hubbard U.

a b c (Å): 6.5942 6.1006 5.2557
angles (deg): 70.55 60.73 48.72
Last column: nearest neighbours and their distance in Å.
Element x y z (fractional)
Co1 0.0000 0.0000 0.0000  4 O 1.78
Cu1 0.3320 0.6680 0.3320  4 O 1.81-1.83
Cu2 0.6680 0.3320 0.6680  4 O 1.81-1.83
O1 0.0473 0.7231 0.2769  1 Co 1.78, 1 Cu 1.83
O2 0.2769 0.9527 0.0473  1 Co 1.78, 1 Cu 1.83
O3 0.3860 0.3860 0.6140  2 Cu 1.81
O4 0.6140 0.6140 0.3860  2 Cu 1.81
O5 0.7231 0.0473 0.9527  1 Co 1.78, 1 Cu 1.83
O6 0.9527 0.2769 0.7231  1 Co 1.78, 1 Cu 1.83

Results
- Raw total energy: -4.829 eV/atom
- Symmetry: Fmmm (69)
- V: 15.4 Å³ per atom

---

Record 2
CoCuO2: relaxed, PBE with a Hubbard U.

a b c (Å): 4.5520 4.5520 9.0808
angles (deg): 90.00 90.00 90.00
Last column: nearest neighbours and their distance in Å.
Element x y z (fractional)
Co1 0.0000 0.0000 0.0000  4 O 1.95
Co2 0.0000 0.5000 0.2500  4 O 1.95
Co3 0.5000 0.0000 0.7500  4 O 1.95
Co4 0.5000 0.5000 0.5000  4 O 1.95
Cu1 0.0000 0.0000 0.5000  4 O 1.99
Cu2 0.0000 0.5000 0.7500  4 O 1.99
Cu3 0.5000 0.0000 0.2500  4 O 1.99
Cu4 0.5000 0.5000 0.0000  4 O 1.99
O1 0.2407 0.2500 0.1250  2 Co 1.95, 2 Cu 1.99
O2 0.2500 0.7407 0.3750  2 Co 1.95, 2 Cu 1.99
O3 0.2500 0.7593 0.8750  2 Co 1.95, 2 Cu 1.99
O4 0.2593 0.2500 0.6250  2 Co 1.95, 2 Cu 1.99
O5 0.7407 0.7500 0.6250  2 Co 1.95, 2 Cu 1.99
O6 0.7500 0.2407 0.8750  2 Co 1.95, 2 Cu 1.99
O7 0.7500 0.2593 0.3750  2 Co 1.95, 2 Cu 1.99
O8 0.7593 0.7500 0.1250  2 Co 1.95, 2 Cu 1.99

Results
- Raw total energy: -5.491 eV/atom
- Symmetry: I-42d (122)
- V: 11.8 Å³ per atom

---

What did the second record say?
CoCuO2: relaxed, PBE with a Hubbard U.

a b c (Å): 4.5520 4.5520 9.0808
angles (deg): 90.00 90.00 90.00
Last column: nearest neighbours and their distance in Å.
Element x y z (fractional)
Co1 0.0000 0.0000 0.0000  4 O 1.95
Co2 0.0000 0.5000 0.2500  4 O 1.95
Co3 0.5000 0.0000 0.7500  4 O 1.95
Co4 0.5000 0.5000 0.5000  4 O 1.95
Cu1 0.0000 0.0000 0.5000  4 O 1.99
Cu2 0.0000 0.5000 0.7500  4 O 1.99
Cu3 0.5000 0.0000 0.2500  4 O 1.99
Cu4 0.5000 0.5000 0.0000  4 O 1.99
O1 0.2407 0.2500 0.1250  2 Co 1.95, 2 Cu 1.99
O2 0.2500 0.7407 0.3750  2 Co 1.95, 2 Cu 1.99
O3 0.2500 0.7593 0.8750  2 Co 1.95, 2 Cu 1.99
O4 0.2593 0.2500 0.6250  2 Co 1.95, 2 Cu 1.99
O5 0.7407 0.7500 0.6250  2 Co 1.95, 2 Cu 1.99
O6 0.7500 0.2407 0.8750  2 Co 1.95, 2 Cu 1.99
O7 0.7500 0.2593 0.3750  2 Co 1.95, 2 Cu 1.99
O8 0.7593 0.7500 0.1250  2 Co 1.95, 2 Cu 1.99

Results
- Raw total energy: -5.491 eV/atom
- Symmetry: I-42d (122)
- V: 11.8 Å³ per atom